Record 1
This record from Alexandria describes crystalline NiAg2Rh at its relaxed geometry. The functional is GGA-PBE.

Values from the calculation:
The value obtained for the distance to the lowest polymorph of the same formula is 146 meV/atom. The magnetization comes out at 0.77 μB per cell. The value obtained for the energy is -17.655 eV per cell. The calculation puts the energy of formation at 0.295 eV/atom.

Unit cell a=5.405 b=5.405 c=5.405 alpha=149.70 beta=128.45 gamma=60.98
Positions (direct):
Ni  0.000  0.000  0.000
Ag  0.484  0.484  0.000
Ag  0.756  0.256  0.500
Rh  0.216  0.716  0.500


Record 2
This record from Alexandria describes crystalline Np4TiAs5 at its relaxed geometry. The functional is GGA-PBE.

Values from the calculation:
The magnetization comes out at 0.19 μB per cell. The value obtained for the energy is -89.361 eV per cell. The calculation puts the energy of formation at -0.646 eV/atom.

Unit cell a=14.405 b=14.405 c=14.405 alpha=163.86 beta=163.86 gamma=22.90
Positions (direct):
Np  0.097  0.097  0.000
Np  0.302  0.302  0.000
Np  0.698  0.698  0.000
Np  0.903  0.903  0.000
Ti  0.500  0.500  0.000
As  0.000  0.000  0.000
As  0.199  0.199  0.000
As  0.406  0.406  0.000
As  0.594  0.594  0.000
As  0.801  0.801  0.000


Record 3
This record from Alexandria describes crystalline BPSCl2 at its relaxed geometry. The functional is GGA-PBE.

Values from the calculation:
The value obtained for the distance to the lowest polymorph of the same formula is 7 meV/atom. The magnetization comes out at 0.00 μB per cell. The value obtained for the energy is -15.821 eV per cell. The calculation puts the formation energy without anion corrections at 0.817 eV per atom.

Unit cell a=3.926 b=3.926 c=5.712 alpha=90.00 beta=90.00 gamma=90.00
Positions (direct):
B  0.000  0.000  0.000
P  0.000  0.000  0.500
S  0.500  0.500  0.500
Cl  0.000  0.500  0.000
Cl  0.500  0.000  0.000


Record 4
This record from Alexandria describes crystalline CrAg2Cl at its relaxed geometry. The functional is GGA-PBE.

Values from the calculation:
The value obtained for the distance to the lowest polymorph of the same formula is 0 meV/atom. The magnetization comes out at 3.90 μB per cell. The value obtained for the energy is -16.921 eV per cell. The calculation puts the formation energy without anion corrections at 0.063 eV per atom.

Unit cell a=3.712 b=3.164 c=7.280 alpha=90.00 beta=90.45 gamma=90.00
Positions (direct):
Cr  0.000  0.000  0.000
Ag  0.497  0.500  0.800
Ag  0.994  0.000  0.600
Cl  0.005  0.500  0.243


Record 5
This record from Alexandria describes crystalline LiPuPtPb at its relaxed geometry. The functional is GGA-PBE.

Values from the calculation:
The magnetization comes out at 5.17 μB per cell. The value obtained for the energy is -27.681 eV per cell. The calculation puts the energy of formation at -0.421 eV/atom.

Unit cell a=4.884 b=4.884 c=4.884 alpha=60.00 beta=60.00 gamma=60.00
Positions (direct):
Li  0.000  0.000  0.000
Pu  0.250  0.250  0.250
Pt  0.500  0.500  0.500
Pb  0.750  0.750  0.750


Record 6
This record from Alexandria describes crystalline NpPa2As at its relaxed geometry. The functional is GGA-PBE.

Values from the calculation:
The value obtained for the distance to the lowest polymorph of the same formula is 337 meV/atom. The magnetization comes out at 3.77 μB per cell. The value obtained for the energy is -36.580 eV per cell. The calculation puts the energy of formation at 0.000 eV/atom.

Unit cell a=9.455 b=9.455 c=9.455 alpha=21.30 beta=21.30 gamma=21.30
Positions (direct):
Np  0.000  0.000  0.000
Pa  0.240  0.240  0.240
Pa  0.760  0.760  0.760
As  0.500  0.500  0.500